Entry 1:
MgRu3, optimized geometry, DFT PBEsol; calculated total energy = -7.77 eV/atom; E_form = 288.9 meV/atom
1.0
-2.4549 0.5532 0.9513
-0.0614 -4.1736 2.2688
1.8116 3.5177 2.6296
Ru Mg
3 1
direct
0.5000 0.0000 0.5000 Ru
0.0000 0.0000 0.0000 Ru
0.5000 0.5000 0.0000 Ru
0.0000 0.5000 0.5000 Mg

Entry 2:
Mg3Ru4, optimized geometry, DFT PBEsol; calculated total energy = -6.50 eV/atom; E_form = 49.3 meV/atom
1.0
2.8257 0.0000 0.0000
0.0000 2.8257 0.0000
-1.4128 -1.4128 13.6432
Ru Mg
4 3
direct
0.8698 0.8698 0.7397 Ru
0.4275 0.4275 0.8549 Ru
0.5725 0.5725 0.1451 Ru
0.1302 0.1302 0.2603 Ru
0.0000 0.0000 0.0000 Mg
0.7012 0.7012 0.4025 Mg
0.2988 0.2988 0.5975 Mg